5
Lattice="-3.6026 1.8777 -5.5423 -4.6507 -3.3919 -2.7752 -1.2175 5.7875 2.8139" Properties=species:S:1:pos:R:3 comment="PmInSn3 | Alexandria | PBE | relaxed" density_g_cm3=5.70 e_above_lowest_polymorph_ev_per_fu=1.22 dft_energy_ev_per_atom=-3.878 e_form_ev_per_atom=0.0210 pbc="T T T"
Sn -2.3254 -1.6959 -1.3876
Sn -0.6087 2.8937 1.4069
Sn -2.9341 1.1978 0.0193
In -1.8013 0.9388 -2.7711
Pm 0.0000 0.0000 0.0000